{"formula": "ThZnTe2", "functional": "PBE-GGA", "state": "optimized geometry", "formation_energy_uncorrected_kcal_per_mol_atoms": -14.165, "final_energy_ev_per_cell": -52.30, "density_g_cm3": 4.95, "lattice": [[4.499, 0.000, 0.000], [-2.249, 3.896, 0.000], [0.000, 0.000, 31.699]], "species": ["Th", "Th", "Th", "Zn", "Zn", "Zn", "Te", "Te", "Te", "Te", "Te", "Te"], "fractional_positions": [[0.000, 0.000, 0.000], [0.333, 0.667, 0.667], [0.667, 0.333, 0.333], [0.000, 0.000, 0.500], [0.333, 0.667, 0.167], [0.667, 0.333, 0.833], [0.000, 0.000, 0.389], [0.000, 0.000, 0.611], [0.333, 0.667, 0.056], [0.333, 0.667, 0.277], [0.667, 0.333, 0.723], [0.667, 0.333, 0.944]]}